1.
# LaRuC2 (GGA-PBE, relaxed)
# SG = R-3m, No. 166
# Energy relative to the elements = 0.44 eV per atom
data_LaRuC2
_cell_length_a 5.854
_cell_length_b 5.854
_cell_length_c 5.854
_cell_angle_alpha 33.47
_cell_angle_beta 33.47
_cell_angle_gamma 33.47
_space_group_name_H-M_alt 'P 1'
_space_group_IT_number 1
loop_
_space_group_symop_operation_xyz
'x,y,z'
loop_
_atom_site_label
_atom_site_type_symbol
_atom_site_fract_x
_atom_site_fract_y
_atom_site_fract_z
La1 La 0.000 0.000 0.000
Ru1 Ru 0.500 0.500 0.500
C1 C 0.227 0.227 0.227
C2 C 0.773 0.773 0.773


2.
# Th2ZnPd9 (GGA-PBE, relaxed)
# SG = P4/mmm, No. 123
# Energy relative to the elements = -0.76 eV per atom
data_Th2ZnPd9
_cell_length_a 4.185
_cell_length_b 4.185
_cell_length_c 12.008
_cell_angle_alpha 90.00
_cell_angle_beta 90.00
_cell_angle_gamma 90.00
_space_group_name_H-M_alt 'P 1'
_space_group_IT_number 1
loop_
_space_group_symop_operation_xyz
'x,y,z'
loop_
_atom_site_label
_atom_site_type_symbol
_atom_site_fract_x
_atom_site_fract_y
_atom_site_fract_z
Th1 Th 0.000 0.000 0.181
Th2 Th 0.000 0.000 0.819
Zn1 Zn 0.000 0.000 0.500
Pd1 Pd 0.000 0.500 0.000
Pd2 Pd 0.000 0.500 0.348
Pd3 Pd 0.000 0.500 0.652
Pd4 Pd 0.500 0.000 0.000
Pd5 Pd 0.500 0.000 0.348
Pd6 Pd 0.500 0.000 0.652
Pd7 Pd 0.500 0.500 0.173
Pd8 Pd 0.500 0.500 0.500
Pd9 Pd 0.500 0.500 0.827


3.
# PaMnNb (GGA-PBE, relaxed)
# SG = P2_1/c, No. 14
# Energy relative to the elements = 0.12 eV per atom
data_PaMnNb
_cell_length_a 5.841
_cell_length_b 5.599
_cell_length_c 6.663
_cell_angle_alpha 90.00
_cell_angle_beta 97.17
_cell_angle_gamma 90.00
_space_group_name_H-M_alt 'P 1'
_space_group_IT_number 1
loop_
_space_group_symop_operation_xyz
'x,y,z'
loop_
_atom_site_label
_atom_site_type_symbol
_atom_site_fract_x
_atom_site_fract_y
_atom_site_fract_z
Pa1 Pa 0.218 0.160 0.499
Pa2 Pa 0.218 0.340 0.999
Pa3 Pa 0.782 0.660 0.001
Pa4 Pa 0.782 0.840 0.501
Mn1 Mn 0.091 0.533 0.322
Mn2 Mn 0.091 0.967 0.822
Mn3 Mn 0.909 0.033 0.178
Mn4 Mn 0.909 0.467 0.678
Nb1 Nb 0.374 0.656 0.659
Nb2 Nb 0.374 0.844 0.159
Nb3 Nb 0.626 0.156 0.841
Nb4 Nb 0.626 0.344 0.341


Which value of energy relative to the elements does entry 2 give? -0.76 eV per atom


Which of these has the lowest energy relative to the elements? Th2ZnPd9


Which value of energy relative to the elements does entry 3 give? 0.12 eV per atom